(i)
Be3AlSn: optimized geometry, GGA-PBE.

Geometry as CIF:
```
data_Be3AlSn
_chemical_formula_sum 'Be3 Al1 Sn1'
_cell_length_a 4.4405
_cell_length_b 4.4405
_cell_length_c 4.4405
_cell_angle_alpha 90.00
_cell_angle_beta 90.00
_cell_angle_gamma 90.00
_space_group_name_H-M_alt 'P m -3 m'
_space_group_IT_number 221
_space_group_name_Hall '-P 4 2 3'
loop_
_atom_site_label
_atom_site_type_symbol
_atom_site_fract_x
_atom_site_fract_y
_atom_site_fract_z
_atom_site_occupancy
Be1 Be 0.0000 0.0000 0.5000 1
Al1 Al 0.0000 0.0000 0.0000 1
Sn1 Sn 0.5000 0.5000 0.5000 1
```

Values from the calculation:
Magnetization   0.0 Bohr magnetons per cell
D(E_F)   0.457 states/eV/atom

=====

(ii)
Be3AlSn: optimized geometry, GGA-PBE.

Geometry as CIF:
```
data_Be3AlSn
_chemical_formula_sum 'Be3 Al1 Sn1'
_cell_length_a 4.6197
_cell_length_b 4.6197
_cell_length_c 4.6197
_cell_angle_alpha 90.00
_cell_angle_beta 90.00
_cell_angle_gamma 90.00
_space_group_name_H-M_alt 'P m -3 m'
_space_group_IT_number 221
_space_group_name_Hall '-P 4 2 3'
loop_
_atom_site_label
_atom_site_type_symbol
_atom_site_fract_x
_atom_site_fract_y
_atom_site_fract_z
_atom_site_occupancy
Be1 Be 0.0000 0.0000 0.5000 1
Al1 Al 0.5000 0.5000 0.5000 1
Sn1 Sn 0.0000 0.0000 0.0000 1
```

Values from the calculation:
Magnetization   0.0 Bohr magnetons per cell
D(E_F)   0.535 states/eV/atom

=====

What should be chosen as the least stable of them? Choose (ii).

=====

(i)
SrBeAl: optimized geometry, GGA-PBE.

Geometry as CIF:
```
data_SrBeAl
_chemical_formula_sum 'Sr4 Be4 Al4'
_cell_length_a 6.8382
_cell_length_b 6.8382
_cell_length_c 6.8382
_cell_angle_alpha 90.00
_cell_angle_beta 90.00
_cell_angle_gamma 90.00
_space_group_name_H-M_alt 'F -4 3 m'
_space_group_IT_number 216
_space_group_name_Hall 'F -4 2 3'
loop_
_atom_site_label
_atom_site_type_symbol
_atom_site_fract_x
_atom_site_fract_y
_atom_site_fract_z
_atom_site_occupancy
Sr1 Sr 0.0000 0.0000 0.0000 1
Be1 Be 0.0000 0.0000 0.5000 1
Al1 Al 0.2500 0.2500 0.7500 1
```

Values from the calculation:
Magnetization   2.7 Bohr magnetons per cell
D(E_F)   1.276 states/eV/atom

=====

(ii)
SrBeAl: optimized geometry, GGA-PBE.

Geometry as CIF:
```
data_SrBeAl
_chemical_formula_sum 'Sr4 Be4 Al4'
_cell_length_a 6.6616
_cell_length_b 6.6616
_cell_length_c 6.6616
_cell_angle_alpha 90.00
_cell_angle_beta 90.00
_cell_angle_gamma 90.00
_space_group_name_H-M_alt 'F -4 3 m'
_space_group_IT_number 216
_space_group_name_Hall 'F -4 2 3'
loop_
_atom_site_label
_atom_site_type_symbol
_atom_site_fract_x
_atom_site_fract_y
_atom_site_fract_z
_atom_site_occupancy
Sr1 Sr 0.0000 0.0000 0.0000 1
Be1 Be 0.2500 0.2500 0.7500 1
Al1 Al 0.0000 0.0000 0.5000 1
```

Values from the calculation:
Magnetization   2.0 Bohr magnetons per cell
D(E_F)   1.378 states/eV/atom

=====

(iii)
SrBeAl: optimized geometry, GGA-PBE.

Geometry as CIF:
```
data_SrBeAl
_chemical_formula_sum 'Sr4 Be4 Al4'
_cell_length_a 7.1147
_cell_length_b 7.1147
_cell_length_c 7.1147
_cell_angle_alpha 90.00
_cell_angle_beta 90.00
_cell_angle_gamma 90.00
_space_group_name_H-M_alt 'F -4 3 m'
_space_group_IT_number 216
_space_group_name_Hall 'F -4 2 3'
loop_
_atom_site_label
_atom_site_type_symbol
_atom_site_fract_x
_atom_site_fract_y
_atom_site_fract_z
_atom_site_occupancy
Sr1 Sr 0.0000 0.0000 0.0000 1
Be1 Be 0.2500 0.2500 0.2500 1
Al1 Al 0.2500 0.2500 0.7500 1
```

Values from the calculation:
Magnetization   0.0 Bohr magnetons per cell
D(E_F)   1.286 states/eV/atom

=====

What should be chosen as the least stable of them? Choose (iii).

=====

(i)
SrBeAl3: optimized geometry, GGA-PBE.

Geometry as CIF:
```
data_SrBeAl3
_chemical_formula_sum 'Sr1 Be1 Al3'
_cell_length_a 5.9880
_cell_length_b 5.9880
_cell_length_c 5.9880
_cell_angle_alpha 90.00
_cell_angle_beta 90.00
_cell_angle_gamma 90.00
_space_group_name_H-M_alt 'P m -3 m'
_space_group_IT_number 221
_space_group_name_Hall '-P 4 2 3'
loop_
_atom_site_label
_atom_site_type_symbol
_atom_site_fract_x
_atom_site_fract_y
_atom_site_fract_z
_atom_site_occupancy
Sr1 Sr 0.0000 0.0000 0.0000 1
Be1 Be 0.5000 0.5000 0.5000 1
Al1 Al 0.0000 0.0000 0.5000 1
```

Values from the calculation:
Magnetization   0.0 Bohr magnetons per cell
D(E_F)   1.912 states/eV/atom

=====

(ii)
SrBeAl3: optimized geometry, GGA-PBE.

Geometry as CIF:
```
data_SrBeAl3
_chemical_formula_sum 'Sr1 Be1 Al3'
_cell_length_a 4.7168
_cell_length_b 4.7168
_cell_length_c 4.7168
_cell_angle_alpha 90.00
_cell_angle_beta 90.00
_cell_angle_gamma 90.00
_space_group_name_H-M_alt 'P m -3 m'
_space_group_IT_number 221
_space_group_name_Hall '-P 4 2 3'
loop_
_atom_site_label
_atom_site_type_symbol
_atom_site_fract_x
_atom_site_fract_y
_atom_site_fract_z
_atom_site_occupancy
Sr1 Sr 0.0000 0.0000 0.0000 1
Be1 Be 0.5000 0.5000 0.5000 1
Al1 Al 0.0000 0.5000 0.5000 1
```

Values from the calculation:
Magnetization   0.0 Bohr magnetons per cell
D(E_F)   0.551 states/eV/atom

=====

What should be chosen as the least stable of them? Choose (i).